1.
DFT (PBE) results for crystalline CrHgSeN2 at its relaxed geometry.

The uncorrected formation energy comes out at 2466 meV per atom.

a = 4.003 Å, b = 4.003 Å, c = 5.967 Å
α = 90.00°, β = 90.00°, γ = 90.00°
Space group P4/mmm (No. 123)
Asymmetric unit:
Cr 0.000 0.000 0.000 x1
Hg 0.500 0.500 0.500 x1
Se 0.500 0.500 0.000 x1
N 0.000 0.500 0.500 x2

---

2.
DFT (PBE) results for crystalline Ce6PuSb2 at its relaxed geometry.

The uncorrected formation energy comes out at -544 meV per atom.

a = 6.533 Å, b = 9.264 Å, c = 9.578 Å
α = 90.00°, β = 119.41°, γ = 90.00°
Space group P2_1/c (No. 14)
Asymmetric unit:
Ce 0.139 0.115 0.472 x4
Ce 0.316 0.740 0.935 x4
Ce 0.347 0.037 0.212 x4
Pu 0.500 0.000 0.500 x2
Sb 0.192 0.085 0.830 x4

---

3.
DFT (PBE) results for crystalline Tb2DyEr9 at its relaxed geometry.

The formation energy is 5.5 kJ per mole of atoms.

a = 11.0959 Å, b = 11.0959 Å, c = 3.4665 Å
α = 90.00°, β = 90.00°, γ = 120.00°
Space group P6/mmm (No. 191)
Asymmetric unit:
Tb 0.3333 0.6667 0.0000 x2
Dy 0.0000 0.0000 0.0000 x1
Er 0.0000 0.5000 0.0000 x3
Er 0.1761 0.3523 0.5000 x6

---

4.
DFT (PBE) results for crystalline Cs5InH8 at its relaxed geometry.

a = 8.824 Å, b = 8.824 Å, c = 10.687 Å
α = 90.00°, β = 90.00°, γ = 90.00°
Space group I-4 (No. 82)
Asymmetric unit:
Cs 0.000 0.000 0.000 x2
Cs 0.123 0.715 0.603 x8
In 0.000 0.500 0.250 x2
H 0.006 0.332 0.343 x8
H 0.111 0.713 0.888 x8

---

Number 1: DOS(E_F) 8.4 states/eV per cell, uncorrected energy -17.7 eV/cell. Number 2: DOS(E_F) 35.5 states/eV per cell, uncorrected energy -126.1 eV/cell. Number 3: DOS(E_F) 19.2 states/eV per cell, uncorrected energy -54.2 eV/cell. Number 4: DOS(E_F) 0.0 states/eV per cell, uncorrected energy -70.0 eV/cell.